Li2Mn2FeO6 (PBE+U, optimized geometry); polymorph energy (0 for the lowest one) = 0.097 eV per atom; size of the total moment = 20.0 μB/cell; calculated volume = 10.13 Å³ per atom
1.0
5.062 -0.065 0.210
-2.496 4.405 0.210
0.421 0.712 10.139
O Fe Li Mn
12 2 4 4
Direct
0.630 0.981 0.106
0.969 0.614 0.105
0.386 0.031 0.895
0.469 0.818 0.606
0.706 0.695 0.895
0.878 0.889 0.394
0.305 0.294 0.105
0.542 0.194 0.394
0.111 0.122 0.606
0.019 0.370 0.894
0.182 0.531 0.394
0.806 0.458 0.606
0.499 0.501 0.500
0.001 0.999 0.000
0.066 0.729 0.752
0.271 0.934 0.248
0.924 0.263 0.243
0.737 0.076 0.757
0.164 0.836 0.500
0.831 0.169 0.500
0.337 0.663 0.000
0.667 0.333 0.000